Record 1
{
  "formula": "BaSi2Cl",
  "functional": "meta-GGA SCAN",
  "state": "PBEsol geometry",
  "space_group": "Fmmm (69)",
  "formation_energy_uncorrected_kcal_per_mol_atoms": -7.25,
  "m_tot_mub_per_cell": 0.000,
  "energy_ev_per_atom": -17.204,
  "lattice": [[0.0000, 2.9030, 6.5480], [2.8046, 0.0000, 6.5480], [2.8046, 2.9030, 0.0000]],
  "species": ["Ba", "Si", "Si", "Cl"],
  "frac_coords": [[0.0000, 0.0000, 0.0000], [0.0000, 0.5000, 0.5000], [0.5000, 0.0000, 0.0000], [0.5000, 0.5000, 0.5000]]
}

Record 2
{
  "formula": "CrReRh2",
  "functional": "meta-GGA SCAN",
  "state": "PBEsol geometry",
  "space_group": "P4mm (99)",
  "m_tot_mub_per_cell": 0.000,
  "energy_ev_per_atom": -39.308,
  "delta_e_f_kcal_per_mol_atoms": -1.193,
  "lattice": [[2.6600, 0.0000, 0.0000], [0.0000, 2.6600, 0.0000], [0.0000, 0.0000, 7.5257]],
  "species": ["Cr", "Re", "Rh", "Rh"],
  "frac_coords": [[0.0000, 0.0000, 0.0000], [0.5000, 0.5000, 0.2588], [0.0000, 0.0000, 0.5051], [0.5000, 0.5000, 0.7782]]
}

Record 3
{
  "formula": "Li4Nb2Cr3Co3O16",
  "functional": "meta-GGA SCAN",
  "state": "PBEsol geometry",
  "space_group": "Cm (8)",
  "formation_energy_uncorrected_kcal_per_mol_atoms": -53.01,
  "m_tot_mub_per_cell": 9.000,
  "energy_ev_per_atom": -12.391,
  "lattice": [[4.9556, -2.8912, 0.0000], [4.9556, 2.8912, 0.0000], [-0.1000, 0.0000, 9.4065]],
  "species": ["Li", "Li", "Li", "Li", "Nb", "Nb", "Cr", "Cr", "Cr", "Co", "Co", "Co", "O", "O", "O", "O", "O", "O", "O", "O", "O", "O", "O", "O", "O", "O", "O", "O"],
  "frac_coords": [[0.0000, 0.0000, 0.0000], [0.0010, 0.0010, 0.4968], [0.3257, 0.3257, 0.3993], [0.6599, 0.6599, 0.9040], [0.3272, 0.3272, 0.9986], [0.6581, 0.6581, 0.4948], [0.1632, 0.6556, 0.7196], [0.6556, 0.1632, 0.7196], [0.8254, 0.8254, 0.2203], [0.1648, 0.1648, 0.7172], [0.3339, 0.8270, 0.2172], [0.8270, 0.3339, 0.2172], [0.9999, 0.9999, 0.3099], [0.0300, 0.4733, 0.8397], [0.1608, 0.1608, 0.1079], [0.1618, 0.6687, 0.1005], [0.3249, 0.8337, 0.6020], [0.3275, 0.3275, 0.6103], [0.4733, 0.0300, 0.8397], [0.4774, 0.4774, 0.8414], [0.5111, 0.9591, 0.3387], [0.5139, 0.5139, 0.3320], [0.6588, 0.6588, 0.1140], [0.6687, 0.1618, 0.1005], [0.8318, 0.8318, 0.5956], [0.8337, 0.3249, 0.6020], [0.9591, 0.5111, 0.3387], [0.9975, 0.9975, 0.8125]]
}

Record 4
{
  "formula": "KCd3",
  "functional": "meta-GGA SCAN",
  "state": "PBEsol geometry",
  "space_group": "Pmmm (47)",
  "m_tot_mub_per_cell": 0.000,
  "energy_ev_per_atom": -24.925,
  "delta_e_f_kcal_per_mol_atoms": -0.747,
  "lattice": [[2.9843, 0.0000, 0.0000], [0.0000, 4.3293, 0.0000], [0.0000, 0.0000, 8.0818]],
  "species": ["K", "Cd", "Cd", "Cd"],
  "frac_coords": [[0.0000, 0.0000, 0.0000], [0.0000, 0.0000, 0.5000], [0.5000, 0.5000, 0.3045], [0.5000, 0.5000, 0.6955]]
}

Record 5
{
  "formula": "SiTe2Cl",
  "functional": "meta-GGA SCAN",
  "state": "PBEsol geometry",
  "space_group": "Pm (6)",
  "formation_energy_uncorrected_kcal_per_mol_atoms": 5.24,
  "m_tot_mub_per_cell": 0.000,
  "energy_ev_per_atom": -22.897,
  "lattice": [[3.1127, 0.0000, 0.0000], [0.0000, 4.5936, 0.0000], [-0.1092, 0.0000, 6.5436]],
  "species": ["Si", "Te", "Te", "Cl"],
  "frac_coords": [[0.0000, 0.0000, 0.0000], [0.8326, 0.0000, 0.4166], [0.8404, 0.5000, 0.7426], [0.3148, 0.5000, 0.1924]]
}

Record 6
{
  "formula": "Mg2GaPd2",
  "functional": "meta-GGA SCAN",
  "state": "PBEsol geometry",
  "space_group": "P4/mbm (127)",
  "m_tot_mub_per_cell": 0.000,
  "energy_ev_per_atom": -19.028,
  "delta_e_f_kcal_per_mol_atoms": -15.207,
  "lattice": [[6.5125, 0.0000, 0.0000], [0.0000, 6.5125, 0.0000], [0.0000, 0.0000, 4.0076]],
  "species": ["Mg", "Mg", "Mg", "Mg", "Ga", "Ga", "Pd", "Pd", "Pd", "Pd"],
  "frac_coords": [[0.1598, 0.3402, 0.0000], [0.3402, 0.8402, 0.0000], [0.6598, 0.1598, 0.0000], [0.8402, 0.6598, 0.0000], [0.0000, 0.0000, 0.5000], [0.5000, 0.5000, 0.5000], [0.1482, 0.6482, 0.5000], [0.3518, 0.1482, 0.5000], [0.6482, 0.8518, 0.5000], [0.8518, 0.3518, 0.5000]]
}

Record 7
{
  "formula": "ReBAs3",
  "functional": "meta-GGA SCAN",
  "state": "PBEsol geometry",
  "space_group": "Pm-3m (221)",
  "m_tot_mub_per_cell": 0.001,
  "energy_ev_per_atom": -26.319,
  "delta_e_f_kcal_per_mol_atoms": 34.615,
  "lattice": [[4.7646, 0.0000, 0.0000], [0.0000, 4.7646, 0.0000], [0.0000, 0.0000, 4.7646]],
  "species": ["Re", "B", "As", "As", "As"],
  "frac_coords": [[0.0000, 0.0000, 0.0000], [0.5000, 0.5000, 0.5000], [0.0000, 0.0000, 0.5000], [0.0000, 0.5000, 0.0000], [0.5000, 0.0000, 0.0000]]
}

Record 8
{
  "formula": "K2Cl",
  "functional": "meta-GGA SCAN",
  "state": "PBEsol geometry",
  "space_group": "Cmcm (63)",
  "formation_energy_uncorrected_kcal_per_mol_atoms": -31.72,
  "m_tot_mub_per_cell": 0.240,
  "energy_ev_per_atom": -9.587,
  "lattice": [[2.2184, -9.2153, 0.0000], [2.2184, 9.2153, 0.0000], [0.0000, 0.0000, 6.3935]],
  "species": ["K", "K", "K", "K", "Cl", "Cl"],
  "frac_coords": [[0.0741, 0.9259, 0.7500], [0.3137, 0.6863, 0.7500], [0.6863, 0.3137, 0.2500], [0.9259, 0.0741, 0.2500], [0.3033, 0.6967, 0.2500], [0.6967, 0.3033, 0.7500]]
}

Record 9
{
  "formula": "ZrTlSe2",
  "functional": "meta-GGA SCAN",
  "state": "PBEsol geometry",
  "space_group": "P4/mmm (123)",
  "formation_energy_uncorrected_kcal_per_mol_atoms": -10.06,
  "m_tot_mub_per_cell": 0.001,
  "energy_ev_per_atom": -36.240,
  "lattice": [[4.9543, 0.0000, 0.0000], [0.0000, 4.9543, 0.0000], [0.0000, 0.0000, 3.4502]],
  "species": ["Zr", "Tl", "Se", "Se"],
  "frac_coords": [[0.0000, 0.0000, 0.0000], [0.5000, 0.5000, 0.0000], [0.0000, 0.5000, 0.5000], [0.5000, 0.0000, 0.5000]]
}

Record 10
{
  "formula": "SrLiReP2",
  "functional": "meta-GGA SCAN",
  "state": "PBEsol geometry",
  "space_group": "P4/mmm (123)",
  "m_tot_mub_per_cell": 0.001,
  "energy_ev_per_atom": -23.031,
  "delta_e_f_kcal_per_mol_atoms": 6.485,
  "lattice": [[4.6187, 0.0000, 0.0000], [0.0000, 4.6187, 0.0000], [0.0000, 0.0000, 5.7401]],
  "species": ["Sr", "Li", "Re", "P", "P"],
  "frac_coords": [[0.0000, 0.0000, 0.0000], [0.5000, 0.5000, 0.0000], [0.0000, 0.0000, 0.5000], [0.0000, 0.5000, 0.5000], [0.5000, 0.0000, 0.5000]]
}

Record 11
{
  "formula": "CuAgMo2",
  "functional": "meta-GGA SCAN",
  "state": "PBEsol geometry",
  "space_group": "F-43m (216)",
  "m_tot_mub_per_cell": 0.000,
  "energy_ev_per_atom": -28.488,
  "delta_e_f_kcal_per_mol_atoms": 13.751,
  "lattice": [[0.0000, 3.1014, 3.1014], [3.1014, 0.0000, 3.1014], [3.1014, 3.1014, 0.0000]],
  "species": ["Cu", "Ag", "Mo", "Mo"],
  "frac_coords": [[0.0000, 0.0000, 0.0000], [0.2500, 0.2500, 0.2500], [0.5000, 0.5000, 0.5000], [0.7500, 0.7500, 0.7500]]
}

Record 12
{
  "formula": "TeOsSCl2",
  "functional": "meta-GGA SCAN",
  "state": "PBEsol geometry",
  "space_group": "P4/mmm (123)",
  "formation_energy_uncorrected_kcal_per_mol_atoms": 29.79,
  "m_tot_mub_per_cell": 4.600,
  "energy_ev_per_atom": -25.651,
  "lattice": [[5.2139, 0.0000, 0.0000], [0.0000, 5.2139, 0.0000], [0.0000, 0.0000, 5.0514]],
  "species": ["Te", "Os", "S", "Cl", "Cl"],
  "frac_coords": [[0.0000, 0.0000, 0.0000], [0.5000, 0.5000, 0.5000], [0.0000, 0.0000, 0.5000], [0.0000, 0.5000, 0.0000], [0.5000, 0.0000, 0.0000]]
}

> Which formula does entry 1 have?

BaSi2Cl